# 1
Computed, not measured: BeCdAs2 after structural relaxation at the GGA-PBE level of DFT.

The space group is I-4m2 (No. 119) and the conventional cell measures 3.8449, 3.8449 and 10.0233 Å, with angles of 90.00, 90.00 and 90.00 degrees. Symmetry generates all atoms from Be at (0.0000, 0.0000, 0.0000), Cd at (0.0000, 0.5000, 0.7500), As at (0.0000, 0.0000, 0.5000) and As at (0.0000, 0.5000, 0.2500).

The calculation puts the calculated density at 6.1 g/cm³. The value obtained for the energy of formation is 525 meV/atom. As for the energy above the most stable polymorph in this dataset: 0.461 eV per atom.


# 2
Computed, not measured: Ba3LaAu2O6 after structural relaxation at the GGA-PBE level of DFT.

The space group is P-3m1 (No. 164) and the conventional cell measures 6.3301, 6.3301 and 7.0064 Å, with angles of 90.00, 90.00 and 120.00 degrees. Symmetry generates all atoms from Ba at (0.0000, 0.0000, 0.0000), Ba at (0.3333, 0.6667, 0.6290), La at (0.0000, 0.0000, 0.5000), Au at (0.3333, 0.6667, 0.1258) and O at (0.1677, 0.3354, 0.3018).

The calculation puts the calculated density at 7.1 g/cm³. Its uncorrected formation energy is -1.691 eV/atom.


# 3
Computed, not measured: ScIn2OsPb after structural relaxation at the GGA-PBE level of DFT.

The space group is P4/mmm (No. 123) and the conventional cell measures 5.2276, 5.2276 and 4.9724 Å, with angles of 90.00, 90.00 and 90.00 degrees. Symmetry generates all atoms from Sc at (0.0000, 0.0000, 0.0000), In at (0.0000, 0.5000, 0.5000), Os at (0.0000, 0.0000, 0.5000) and Pb at (0.5000, 0.5000, 0.0000).

The calculation puts the calculated density at 8.2 g/cm³. The value obtained for the energy of formation is 155 meV/atom.


# 4
Computed, not measured: AgGeSe3 after structural relaxation at the GGA-PBE level of DFT.

The space group is Pm-3m (No. 221) and the conventional cell measures 5.0522, 5.0522 and 5.0522 Å, with angles of 90.00, 90.00 and 90.00 degrees. Symmetry generates all atoms from Ag at (0.0000, 0.0000, 0.0000), Ge at (0.5000, 0.5000, 0.5000) and Se at (0.0000, 0.0000, 0.5000).

The calculation puts the calculated density at 5.4 g/cm³. Its uncorrected formation energy is 0.598 eV/atom. As for the energy above the most stable polymorph in this dataset: 0.654 eV per atom.


# 5
Computed, not measured: TaTl after structural relaxation at the GGA-PBE level of DFT.

The space group is P2_1/m (No. 11) and the conventional cell measures 3.0610, 4.8106 and 5.8421 Å, with angles of 90.00, 101.69 and 90.00 degrees. Symmetry generates all atoms from Ta at (0.0829, 0.2500, 0.3757) and Tl at (0.4090, 0.7500, 0.1466).

The calculation puts the calculated density at 15.2 g/cm³. The value obtained for the energy of formation is 616 meV/atom. As for the energy above the most stable polymorph in this dataset: 0.157 eV per atom.


# 6
Computed, not measured: Tb3Ga4Ni8 after structural relaxation at the GGA-PBE level of DFT.

The space group is Fm-3m (No. 225) and the conventional cell measures 12.2006, 12.2006 and 12.2006 Å, with angles of 90.00, 90.00 and 90.00 degrees. Symmetry generates all atoms from Tb at (0.0000, 0.0000, 0.2309), Ga at (0.0000, 0.0000, 0.0000), Ga at (0.0000, 0.0000, 0.5000), Ga at (0.0000, 0.2500, 0.2500), Ni at (0.1264, 0.1264, 0.3736) and Ni at (0.1744, 0.1744, 0.1744).

The calculation puts the calculated density at 9.0 g/cm³. The value obtained for the energy of formation is -497 meV/atom.


# 7
Computed, not measured: HoPuMn4 after structural relaxation at the GGA-PBE level of DFT.

The space group is F-43m (No. 216) and the conventional cell measures 7.1399, 7.1399 and 7.1399 Å, with angles of 90.00, 90.00 and 90.00 degrees. Symmetry generates all atoms from Ho at (0.0000, 0.0000, 0.0000), Pu at (0.2500, 0.2500, 0.7500) and Mn at (0.1246, 0.1246, 0.3754).

The calculation puts the calculated density at 11.5 g/cm³. The value obtained for the energy of formation is 169 meV/atom.


# 8
Computed, not measured: Zr2CdIr after structural relaxation at the GGA-PBE level of DFT.

The space group is Immm (No. 71) and the conventional cell measures 4.1581, 4.7896 and 7.9905 Å, with angles of 90.00, 90.00 and 90.00 degrees. Symmetry generates all atoms from Zr at (0.0000, 0.0000, 0.2284), Cd at (0.0000, 0.5000, 0.0000) and Ir at (0.0000, 0.5000, 0.5000).

The calculation puts the calculated density at 10.2 g/cm³. The value obtained for the energy of formation is -321 meV/atom.


# 9
Computed, not measured: NbFe2Ir after structural relaxation at the GGA-PBE level of DFT.

The space group is Fm-3m (No. 225) and the conventional cell measures 6.0694, 6.0694 and 6.0694 Å, with angles of 90.00, 90.00 and 90.00 degrees. Symmetry generates all atoms from Nb at (0.0000, 0.0000, 0.0000), Fe at (0.2500, 0.2500, 0.2500) and Ir at (0.0000, 0.0000, 0.5000).

The calculation puts the calculated density at 11.8 g/cm³. The value obtained for the energy of formation is -116 meV/atom. As for the energy above the most stable polymorph in this dataset: 0.089 eV per atom.


# 10
Computed, not measured: CsPuBi2 after structural relaxation at the GGA-PBE level of DFT.

The space group is R-3m (No. 166, hexagonal axes) and the conventional cell measures 4.8896, 4.8896 and 25.9112 Å, with angles of 90.00, 90.00 and 120.00 degrees. Symmetry generates all atoms from Cs at (0.0000, 0.0000, 0.0000), Pu at (0.0000, 0.0000, 0.5000) and Bi at (0.0000, 0.0000, 0.2227).

The calculation puts the calculated density at 7.4 g/cm³. The value obtained for the energy of formation is -159 meV/atom. As for the energy above the most stable polymorph in this dataset: 0.144 eV per atom.


# 11
Computed, not measured: Ca2MnAs2 after structural relaxation at the GGA-PBE level of DFT.

The space group is Ibam (No. 72) and the conventional cell measures 6.6024, 12.2322 and 6.0575 Å, with angles of 90.00, 90.00 and 90.00 degrees. Symmetry generates all atoms from Ca at (0.1817, 0.1419, 0.0000), Mn at (0.0000, 0.5000, 0.2500) and As at (0.2269, 0.3850, 0.0000).

The calculation puts the calculated density at 3.9 g/cm³. The value obtained for the energy of formation is -832 meV/atom.


# 12
Computed, not measured: Pr5SmDy12 after structural relaxation at the GGA-PBE level of DFT.

The space group is C2/m (No. 12) and the conventional cell measures 11.4696, 17.3846 and 5.9918 Å, with angles of 90.00, 90.02 and 90.00 degrees. Symmetry generates all atoms from Pr at (0.0000, 0.0000, 0.0000), Pr at (0.0000, 0.1656, 0.5000), Pr at (0.0000, 0.3345, 0.0000), Sm at (0.0000, 0.5000, 0.5000), Dy at (0.1784, 0.1667, 0.9476), Dy at (0.1776, 0.3335, 0.5522), Dy at (0.1783, 0.5000, 0.9427) and Dy at (0.1808, 0.0000, 0.5569).

The calculation puts the calculated density at 7.8 g/cm³. The value obtained for the energy of formation is 97 meV/atom.


# 13
Computed, not measured: NaCe4Hg5 after structural relaxation at the GGA-PBE level of DFT.

The space group is P4/mmm (No. 123) and the conventional cell measures 3.7151, 3.7151 and 20.0024 Å, with angles of 90.00, 90.00 and 90.00 degrees. Symmetry generates all atoms from Na at (0.0000, 0.0000, 0.0000), Ce at (0.0000, 0.0000, 0.1968), Ce at (0.0000, 0.0000, 0.3989), Hg at (0.5000, 0.5000, 0.0990), Hg at (0.5000, 0.5000, 0.2980) and Hg at (0.5000, 0.5000, 0.5000).

The calculation puts the calculated density at 9.5 g/cm³. The value obtained for the energy of formation is -272 meV/atom.


# 14
Computed, not measured: Ho2BeGa4Pd3 after structural relaxation at the GGA-PBE level of DFT.

The space group is P-4m2 (No. 115) and the conventional cell measures 3.9824, 3.9824 and 11.3181 Å, with angles of 90.00, 90.00 and 90.00 degrees. Symmetry generates all atoms from Ho at (0.0000, 0.5000, 0.2421), Be at (0.5000, 0.5000, 0.0000), Ga at (0.0000, 0.0000, 0.5000), Ga at (0.0000, 0.5000, 0.8695), Ga at (0.5000, 0.5000, 0.5000), Pd at (0.0000, 0.0000, 0.0000) and Pd at (0.0000, 0.5000, 0.6476).

The calculation puts the calculated density at 8.7 g/cm³. The value obtained for the energy of formation is -655 meV/atom.


# 15
Computed, not measured: Sr2TaAl after structural relaxation at the GGA-PBE level of DFT.

The space group is I-42d (No. 122) and the conventional cell measures 8.8250, 8.8250 and 6.1082 Å, with angles of 90.00, 90.00 and 90.00 degrees. Symmetry generates all atoms from Sr at (0.2347, 0.2500, 0.1250), Ta at (0.0000, 0.0000, 0.5000) and Al at (0.0000, 0.0000, 0.0000).

The calculation puts the calculated density at 5.3 g/cm³. The value obtained for the energy of formation is 1026 meV/atom.


# 16
Computed, not measured: Nd4Dy5In after structural relaxation at the GGA-PBE level of DFT.

The space group is I4mm (No. 107) and the conventional cell measures 10.7539, 10.7539 and 5.8535 Å, with angles of 90.00, 90.00 and 90.00 degrees. Symmetry generates all atoms from Nd at (0.0000, 0.3109, 0.0000), Dy at (0.0000, 0.0000, 0.2074), Dy at (0.1844, 0.1844, 0.4969) and In at (0.0000, 0.0000, 0.7236).

The calculation puts the calculated density at 7.4 g/cm³. The value obtained for the energy of formation is 74 meV/atom. As for the energy above the most stable polymorph in this dataset: 0.158 eV per atom.


# 17
Computed, not measured: ScCIO2 after structural relaxation at the GGA-PBE level of DFT.

The space group is P4/mmm (No. 123) and the conventional cell measures 4.0376, 4.0376 and 4.2206 Å, with angles of 90.00, 90.00 and 90.00 degrees. Symmetry generates all atoms from Sc at (0.0000, 0.0000, 0.0000), C at (0.5000, 0.5000, 0.5000), I at (0.5000, 0.5000, 0.0000) and O at (0.0000, 0.5000, 0.5000).

The calculation puts the calculated density at 5.2 g/cm³. Its uncorrected formation energy is 0.456 eV/atom. As for the energy above the most stable polymorph in this dataset: 0.496 eV per atom.


# 18
Computed, not measured: Rb2CdSn3Au4 after structural relaxation at the GGA-PBE level of DFT.

The space group is P-4m2 (No. 115) and the conventional cell measures 5.0343, 5.0343 and 10.9362 Å, with angles of 90.00, 90.00 and 90.00 degrees. Symmetry generates all atoms from Rb at (0.0000, 0.5000, 0.2473), Cd at (0.0000, 0.0000, 0.5000), Sn at (0.0000, 0.5000, 0.8838), Sn at (0.5000, 0.5000, 0.5000), Au at (0.0000, 0.0000, 0.0000), Au at (0.0000, 0.5000, 0.6255) and Au at (0.5000, 0.5000, 0.0000).

The calculation puts the calculated density at 8.6 g/cm³. The value obtained for the energy of formation is -281 meV/atom.


# 19
Computed, not measured: TbHoTmHg after structural relaxation at the GGA-PBE level of DFT.

The space group is F-43m (No. 216) and the conventional cell measures 7.6043, 7.6043 and 7.6043 Å, with angles of 90.00, 90.00 and 90.00 degrees. Symmetry generates all atoms from Tb at (0.0000, 0.0000, 0.0000), Ho at (0.0000, 0.0000, 0.5000), Tm at (0.2500, 0.2500, 0.2500) and Hg at (0.2500, 0.2500, 0.7500).

The calculation puts the calculated density at 10.5 g/cm³. The value obtained for the energy of formation is -56 meV/atom.


# 20
Computed, not measured: Nd4CSe2Br after structural relaxation at the GGA-PBE level of DFT.

The space group is P2/m (No. 10) and the conventional cell measures 7.1068, 4.0403 and 7.4223 Å, with angles of 90.00, 108.26 and 90.00 degrees. Symmetry generates all atoms from Nd at (0.2142, 0.0000, 0.2055), Nd at (0.2332, 0.5000, 0.7898), C at (0.0000, 0.5000, 0.0000), Se at (0.5000, 0.0000, 0.0000), Se at (0.5000, 0.5000, 0.5000) and Br at (0.0000, 0.0000, 0.5000).

The calculation puts the calculated density at 6.8 g/cm³. Its uncorrected formation energy is -1.274 eV/atom.


# 21
Computed, not measured: EuYPdPt after structural relaxation at the GGA-PBE level of DFT.

The space group is F-43m (No. 216) and the conventional cell measures 7.0961, 7.0961 and 7.0961 Å, with angles of 90.00, 90.00 and 90.00 degrees. Symmetry generates all atoms from Eu at (0.0000, 0.0000, 0.0000), Y at (0.0000, 0.0000, 0.5000), Pd at (0.2500, 0.2500, 0.2500) and Pt at (0.2500, 0.2500, 0.7500).

The calculation puts the calculated density at 10.1 g/cm³. The value obtained for the energy of formation is -901 meV/atom.


# 22
Computed, not measured: RuPtS2 after structural relaxation at the GGA-PBE level of DFT.

The space group is Fm-3m (No. 225) and the conventional cell measures 6.1375, 6.1375 and 6.1375 Å, with angles of 90.00, 90.00 and 90.00 degrees. Symmetry generates all atoms from Ru at (0.0000, 0.0000, 0.0000), Pt at (0.0000, 0.0000, 0.5000) and S at (0.2500, 0.2500, 0.2500).

The calculation puts the calculated density at 10.4 g/cm³. Its uncorrected formation energy is 0.403 eV/atom. As for the energy above the most stable polymorph in this dataset: 0.509 eV per atom.


# 23
Computed, not measured: AcLa4Nd8 after structural relaxation at the GGA-PBE level of DFT.

The space group is R-3m (No. 166, hexagonal axes) and the conventional cell measures 11.9369, 11.9369 and 12.0990 Å, with angles of 90.00, 90.00 and 120.00 degrees. Symmetry generates all atoms from Ac at (0.0000, 0.0000, 0.0000), La at (0.0000, 0.0000, 0.5000), La at (0.0000, 0.5000, 0.5000), Nd at (0.0000, 0.0000, 0.2672) and Nd at (0.0051, 0.5026, 0.1636).

The calculation puts the calculated density at 6.5 g/cm³. The value obtained for the energy of formation is 361 meV/atom.


# 24
Computed, not measured: KH3W after structural relaxation at the GGA-PBE level of DFT.

The space group is Pm-3m (No. 221) and the conventional cell measures 3.9272, 3.9272 and 3.9272 Å, with angles of 90.00, 90.00 and 90.00 degrees. Symmetry generates all atoms from K at (0.0000, 0.0000, 0.0000), H at (0.0000, 0.5000, 0.5000) and W at (0.5000, 0.5000, 0.5000).

The calculation puts the calculated density at 6.2 g/cm³. As for the energy above the most stable polymorph in this dataset: 0.000 eV per atom.